(1)
Density functional theory data (PBE) for a geometry-optimized TmNi4Ru structure.

Cell lengths 6.8639, 6.8639, 6.8639 Å; angles 90.00, 90.00, 90.00 degrees
With the nearest neighbours (Å) after each atom.
Space group F-43m (No. 216)
Asymmetric unit:
Tm: 0.0000 0.0000 0.0000 [4 per cell]  12 Ni 2.85, 4 Ru 2.97
Ni: 0.1244 0.1244 0.3756 [16 per cell]  6 Ni 2.41-2.44
Ru: 0.2500 0.2500 0.7500 [4 per cell]  12 Ni 2.84, 4 Tm 2.97

Summary:
V ... 323.4 Å³/cell
DOS at the Fermi energy ... 1.391 states/eV per atom
ΔE_f ... -16.02 kJ/mol of atoms

(2)
Density functional theory data (PBE) for a geometry-optimized MnGaPdRu structure.

Cell lengths 6.0986, 6.0986, 6.0986 Å; angles 90.00, 90.00, 90.00 degrees
With the nearest neighbours (Å) after each atom.
Space group F-43m (No. 216)
Asymmetric unit:
Mn: 0.0000 0.0000 0.0000 [4 per cell]  4 Ru 2.64, 4 Pd 2.64
Ga: 0.0000 0.0000 0.5000 [4 per cell]  4 Ru 2.64, 4 Pd 2.64
Pd: 0.2500 0.2500 0.7500 [4 per cell]  4 Mn 2.64, 4 Ga 2.64
Ru: 0.2500 0.2500 0.2500 [4 per cell]  4 Mn 2.64, 4 Ga 2.64

Summary:
V ... 226.8 Å³/cell
DOS at the Fermi energy ... 0.618 states/eV per atom
ΔE_f ... -29.60 kJ/mol of atoms

(3)
Density functional theory data (PBE) for a geometry-optimized RbSe2NCl structure.

Cell lengths 5.0678, 5.0678, 5.7179 Å; angles 90.00, 90.00, 90.00 degrees
With the nearest neighbours (Å) after each atom.
Space group P4/mmm (No. 123)
Asymmetric unit:
Rb: 0.0000 0.0000 0.0000 [1 per cell]  4 N 3.58, 8 Se 3.82
Se: 0.0000 0.5000 0.5000 [2 per cell]  2 Cl 2.53
N: 0.5000 0.5000 0.0000 [1 per cell]  2 Cl 2.86
Cl: 0.5000 0.5000 0.5000 [1 per cell]  4 Se 2.53

Summary:
Formation energy (no corrections) ... 4.4 eV per formula unit
V ... 146.9 Å³/cell
DOS at the Fermi energy ... 0.486 states/eV per atom
Distance to the lowest polymorph of the same formula ... 0.00 eV/f.u.

(4)
Density functional theory data (PBE) for a geometry-optimized AsHRuSe2 structure.

Cell lengths 4.9797, 4.9797, 4.7125 Å; angles 90.00, 90.00, 90.00 degrees
With the nearest neighbours (Å) after each atom.
Space group P4/mmm (No. 123)
Asymmetric unit:
As: 0.0000 0.0000 0.0000 [1 per cell]  2 Ru 2.36
H: 0.5000 0.5000 0.0000 [1 per cell]  8 Se 3.43, 4 As 3.52
Ru: 0.0000 0.0000 0.5000 [1 per cell]  2 As 2.36, 4 Se 2.49
Se: 0.0000 0.5000 0.5000 [2 per cell]  2 Ru 2.49

Summary:
V ... 116.9 Å³/cell
DOS at the Fermi energy ... 1.062 states/eV per atom
Distance to the lowest polymorph of the same formula ... 0.95 eV/f.u.

Q: What is the V in the second record?
A: 226.8 Å³/cell

What did the fourth record say?
Density functional theory data (PBE) for a geometry-optimized AsHRuSe2 structure.

Cell lengths 4.9797, 4.9797, 4.7125 Å; angles 90.00, 90.00, 90.00 degrees
With the nearest neighbours (Å) after each atom.
Space group P4/mmm (No. 123)
Asymmetric unit:
As: 0.0000 0.0000 0.0000 [1 per cell]  2 Ru 2.36
H: 0.5000 0.5000 0.0000 [1 per cell]  8 Se 3.43, 4 As 3.52
Ru: 0.0000 0.0000 0.5000 [1 per cell]  2 As 2.36, 4 Se 2.49
Se: 0.0000 0.5000 0.5000 [2 per cell]  2 Ru 2.49

Summary:
V ... 116.9 Å³/cell
DOS at the Fermi energy ... 1.062 states/eV per atom
Distance to the lowest polymorph of the same formula ... 0.95 eV/f.u.